(1)
Density functional theory data (GGA-PBE) for Co7Si after structural relaxation.

Cell: 4.963 4.963 4.963 Å, 60.00 60.00 60.00°
Atoms (fractional coordinates):
Co  0.000  0.000  0.000
Co  0.000  0.000  0.500
Co  0.000  0.500  0.000
Co  0.000  0.500  0.500
Co  0.500  0.000  0.000
Co  0.500  0.000  0.500
Co  0.500  0.500  0.000
Si  0.500  0.500  0.500

Computed properties:
The value obtained for the density of states at the Fermi level is 9.16 states/eV/cell. The total moment is 9.62 μB/f.u. Its formation energy from raw total energies is -110 meV per atom.

(2)
Density functional theory data (GGA-PBE) for TiCoTe3 after structural relaxation.

Cell: 3.711 12.502 12.502 Å, 151.29 90.00 90.00°
Atoms (fractional coordinates):
Ti  0.250  0.171  0.829
Ti  0.750  0.829  0.171
Co  0.250  0.187  0.448
Co  0.750  0.448  0.187
Te  0.250  0.007  0.467
Te  0.250  0.273  0.131
Te  0.250  0.580  0.843
Te  0.750  0.131  0.273
Te  0.750  0.467  0.007
Te  0.750  0.843  0.580

Computed properties:
The value obtained for the density of states at the Fermi level is 8.50 states/eV/cell. The total moment is 0.00 μB/f.u. As for the energy above the lowest structure with this stoichiometry: 0.0 kJ/mol of atoms. Its formation energy from raw total energies is -361 meV per atom.

(3)
Density functional theory data (GGA-PBE) for Pm12PrGe6 after structural relaxation.

Cell: 8.671 8.671 8.671 Å, 103.48 103.48 103.48°
Atoms (fractional coordinates):
Pm  0.000  0.377  0.623
Pm  0.000  0.623  0.377
Pm  0.058  0.058  0.324
Pm  0.058  0.324  0.058
Pm  0.324  0.058  0.058
Pm  0.377  0.000  0.623
Pm  0.377  0.623  0.000
Pm  0.623  0.000  0.377
Pm  0.623  0.377  0.000
Pm  0.676  0.942  0.942
Pm  0.942  0.676  0.942
Pm  0.942  0.942  0.676
Pr  0.500  0.500  0.500
Ge  0.199  0.749  0.749
Ge  0.251  0.251  0.801
Ge  0.251  0.801  0.251
Ge  0.749  0.199  0.749
Ge  0.749  0.749  0.199
Ge  0.801  0.251  0.251

Computed properties:
The calculation puts the calculated formation energy at -8.16 eV/f.u. The value obtained for the density of states at the Fermi level is 24.39 states/eV/cell. The total moment is 0.00 μB/f.u.

(4)
Density functional theory data (GGA-PBE) for Pr3P2Au after structural relaxation.

Cell: 7.178 7.178 10.124 Å, 90.00 90.00 139.79°
Atoms (fractional coordinates):
Pr  0.100  0.900  0.750
Pr  0.375  0.625  0.552
Pr  0.375  0.625  0.948
Pr  0.625  0.375  0.052
Pr  0.625  0.375  0.448
Pr  0.900  0.100  0.250
P  0.000  0.000  0.000
P  0.000  0.000  0.500
P  0.484  0.516  0.250
P  0.516  0.484  0.750
Au  0.236  0.764  0.250
Au  0.764  0.236  0.750

Computed properties:
The calculation puts the calculated formation energy at -5.08 eV/f.u. The value obtained for the density of states at the Fermi level is 6.56 states/eV/cell. The total moment is 0.00 μB/f.u.

(5)
Density functional theory data (GGA-PBE) for Sr3ZnPtO6 after structural relaxation.

Cell: 6.770 6.770 6.770 Å, 91.47 91.47 91.47°
Atoms (fractional coordinates):
Sr  0.113  0.750  0.387
Sr  0.250  0.613  0.887
Sr  0.387  0.113  0.750
Sr  0.613  0.887  0.250
Sr  0.750  0.387  0.113
Sr  0.887  0.250  0.613
Zn  0.250  0.250  0.250
Zn  0.750  0.750  0.750
Pt  0.000  0.000  0.000
Pt  0.500  0.500  0.500
O  0.040  0.907  0.713
O  0.093  0.287  0.960
O  0.213  0.407  0.540
O  0.287  0.960  0.093
O  0.407  0.540  0.213
O  0.460  0.787  0.593
O  0.540  0.213  0.407
O  0.593  0.460  0.787
O  0.713  0.040  0.907
O  0.787  0.593  0.460
O  0.907  0.713  0.040
O  0.960  0.093  0.287

Computed properties:
The value obtained for the density of states at the Fermi level is 0.00 states/eV/cell. The total moment is 0.00 μB/f.u. Its formation energy from raw total energies is -2007 meV per atom.

(6)
Density functional theory data (GGA-PBE) for Sc6Ga2CO after structural relaxation.

Cell: 4.426 4.426 8.847 Å, 90.00 90.00 90.00°
Atoms (fractional coordinates):
Sc  0.000  0.000  0.249
Sc  0.000  0.000  0.751
Sc  0.000  0.500  0.000
Sc  0.000  0.500  0.500
Sc  0.500  0.000  0.000
Sc  0.500  0.000  0.500
Ga  0.500  0.500  0.255
Ga  0.500  0.500  0.745
C  0.000  0.000  0.000
O  0.000  0.000  0.500

Computed properties:
The value obtained for the density of states at the Fermi level is 5.71 states/eV/cell. The total moment is 0.00 μB/f.u. Its formation energy from raw total energies is -1113 meV per atom.

(7)
Density functional theory data (GGA-PBE) for Ga2SnRhBr after structural relaxation.

Cell: 4.865 4.865 5.132 Å, 90.00 90.00 90.00°
Atoms (fractional coordinates):
Ga  0.000  0.500  0.000
Ga  0.500  0.000  0.000
Sn  0.000  0.000  0.500
Rh  0.000  0.000  0.000
Br  0.500  0.500  0.500

Computed properties:
The value obtained for the density of states at the Fermi level is 0.72 states/eV/cell. The total moment is 0.00 μB/f.u. Its formation energy from raw total energies is -461 meV per atom.

(8)
Density functional theory data (GGA-PBE) for BeZnInNiPd after structural relaxation.

Cell: 4.596 4.596 6.659 Å, 125.85 125.85 40.46°
Atoms (fractional coordinates):
Be  0.000  0.000  0.000
Zn  0.303  0.303  0.049
In  0.093  0.093  0.490
Ni  0.700  0.700  0.264
Pd  0.488  0.488  0.737

Computed properties:
The calculation puts the calculated formation energy at -1.11 eV/f.u. The value obtained for the density of states at the Fermi level is 1.14 states/eV/cell. The total moment is 0.00 μB/f.u. As for the energy above the lowest structure with this stoichiometry: 3.0 kJ/mol of atoms.

(9)
Density functional theory data (GGA-PBE) for InSbAu3 after structural relaxation.

Cell: 5.303 5.303 5.303 Å, 90.00 90.00 90.00°
Atoms (fractional coordinates):
In  0.000  0.000  0.000
Sb  0.500  0.500  0.500
Au  0.000  0.500  0.500
Au  0.500  0.000  0.500
Au  0.500  0.500  0.000

Computed properties:
The value obtained for the density of states at the Fermi level is 1.67 states/eV/cell. The total moment is 0.00 μB/f.u. As for the energy above the lowest structure with this stoichiometry: 28.7 kJ/mol of atoms. Its formation energy from raw total energies is 222 meV per atom.

(10)
Density functional theory data (GGA-PBE) for PaInP after structural relaxation.

Cell: 8.997 8.997 8.997 Å, 29.76 29.76 29.76°
Atoms (fractional coordinates):
Pa  0.229  0.229  0.229
Pa  0.771  0.771  0.771
In  0.360  0.360  0.360
In  0.640  0.640  0.640
P  0.123  0.123  0.123
P  0.877  0.877  0.877

Computed properties:
The calculation puts the calculated formation energy at -1.36 eV/f.u. The value obtained for the density of states at the Fermi level is 3.55 states/eV/cell. The total moment is 0.00 μB/f.u.

(11)
Density functional theory data (GGA-PBE) for LiReNiBi2 after structural relaxation.

Cell: 5.125 5.125 4.780 Å, 90.00 90.00 90.00°
Atoms (fractional coordinates):
Li  0.000  0.000  0.000
Re  0.500  0.500  0.000
Ni  0.500  0.500  0.500
Bi  0.000  0.500  0.500
Bi  0.500  0.000  0.500

Computed properties:
The calculation puts the calculated formation energy at 4.68 eV/f.u. The value obtained for the density of states at the Fermi level is 4.20 states/eV/cell. The total moment is 3.42 μB/f.u.

(12)
Density functional theory data (GGA-PBE) for Ca3HfMg after structural relaxation.

Cell: 5.788 5.788 5.788 Å, 90.00 90.00 90.00°
Atoms (fractional coordinates):
Ca  0.000  0.000  0.500
Ca  0.000  0.500  0.000
Ca  0.500  0.000  0.000
Hf  0.500  0.500  0.500
Mg  0.000  0.000  0.000

Computed properties:
The calculation puts the calculated formation energy at 4.73 eV/f.u. The value obtained for the density of states at the Fermi level is 4.81 states/eV/cell. The total moment is 2.64 μB/f.u. As for the energy above the lowest structure with this stoichiometry: 0.0 kJ/mol of atoms.

(13)
Density functional theory data (GGA-PBE) for AcZn2Cu2 after structural relaxation.

Cell: 4.573 4.573 5.623 Å, 112.51 112.51 91.11°
Atoms (fractional coordinates):
Ac  0.000  0.000  0.000
Zn  0.373  0.373  0.726
Zn  0.627  0.627  0.274
Cu  0.234  0.766  0.500
Cu  0.766  0.234  0.500

Computed properties:
The calculation puts the calculated formation energy at -1.07 eV/f.u. The value obtained for the density of states at the Fermi level is 2.82 states/eV/cell. The total moment is 0.00 μB/f.u. As for the energy above the lowest structure with this stoichiometry: 0.0 kJ/mol of atoms.

(14)
Density functional theory data (GGA-PBE) for SrLaFe after structural relaxation.

Cell: 5.083 5.083 5.083 Å, 60.00 60.00 60.00°
Atoms (fractional coordinates):
Sr  0.000  0.000  0.000
La  0.500  0.500  0.500
Fe  0.250  0.250  0.250

Computed properties:
The calculation puts the calculated formation energy at 1.66 eV/f.u. The value obtained for the density of states at the Fermi level is 6.48 states/eV/cell. The total moment is 1.20 μB/f.u. As for the energy above the lowest structure with this stoichiometry: 20.0 kJ/mol of atoms.

(15)
Density functional theory data (GGA-PBE) for Pu2Ga3Ir2 after structural relaxation.

Cell: 5.375 5.375 6.990 Å, 111.13 111.13 46.11°
Atoms (fractional coordinates):
Pu  0.145  0.145  0.272
Pu  0.855  0.855  0.728
Ga  0.371  0.371  0.057
Ga  0.500  0.500  0.500
Ga  0.629  0.629  0.943
Ir  0.138  0.138  0.705
Ir  0.862  0.862  0.295

Computed properties:
The calculation puts the calculated formation energy at -3.79 eV/f.u. The value obtained for the density of states at the Fermi level is 17.29 states/eV/cell. The total moment is 10.46 μB/f.u.

(16)
Density functional theory data (GGA-PBE) for Cs2HgC2O6 after structural relaxation.

Cell: 6.785 6.785 7.271 Å, 114.07 114.07 46.05°
Atoms (fractional coordinates):
Cs  0.188  0.188  0.191
Cs  0.812  0.812  0.809
Hg  0.000  0.000  0.500
C  0.499  0.499  0.715
C  0.501  0.501  0.285
O  0.226  0.649  0.235
O  0.351  0.774  0.765
O  0.386  0.386  0.631
O  0.614  0.614  0.369
O  0.649  0.226  0.235
O  0.774  0.351  0.765

Computed properties:
The total moment is 0.00 μB/f.u. Its formation energy from raw total energies is -1384 meV per atom.

(17)
Density functional theory data (GGA-PBE) for Na3ReC after structural relaxation.

Cell: 5.887 5.887 5.887 Å, 90.00 90.00 90.00°
Atoms (fractional coordinates):
Na  0.000  0.000  0.500
Na  0.000  0.500  0.000
Na  0.500  0.000  0.000
Re  0.000  0.000  0.000
C  0.500  0.500  0.500

Computed properties:
The calculation puts the calculated formation energy at 13.02 eV/f.u. The value obtained for the density of states at the Fermi level is 4.34 states/eV/cell. The total moment is 6.03 μB/f.u. As for the energy above the lowest structure with this stoichiometry: 58.5 kJ/mol of atoms.

(18)
Density functional theory data (GGA-PBE) for GdDyGe2 after structural relaxation.

Cell: 3.368 3.368 8.071 Å, 90.00 90.00 90.00°
Atoms (fractional coordinates):
Gd  0.000  0.000  0.000
Dy  0.000  0.000  0.500
Ge  0.500  0.500  0.253
Ge  0.500  0.500  0.747

Computed properties:
The calculation puts the calculated formation energy at -2.63 eV/f.u. The value obtained for the density of states at the Fermi level is 2.48 states/eV/cell. The total moment is 7.18 μB/f.u. As for the energy above the lowest structure with this stoichiometry: 3.3 kJ/mol of atoms.

(19)
Density functional theory data (GGA-PBE) for Hf2TeBr2 after structural relaxation.

Cell: 8.330 8.330 3.193 Å, 90.00 90.00 90.00°
Atoms (fractional coordinates):
Hf  0.181  0.319  0.000
Hf  0.319  0.819  0.000
Hf  0.681  0.181  0.000
Hf  0.819  0.681  0.000
Te  0.000  0.000  0.500
Te  0.500  0.500  0.500
Br  0.126  0.626  0.500
Br  0.374  0.126  0.500
Br  0.626  0.874  0.500
Br  0.874  0.374  0.500

Computed properties:
The value obtained for the density of states at the Fermi level is 5.77 states/eV/cell. The total moment is 0.00 μB/f.u. As for the energy above the lowest structure with this stoichiometry: 16.8 kJ/mol of atoms. Its formation energy from raw total energies is 63 meV per atom.

(20)
Density functional theory data (GGA-PBE) for HfZnH after structural relaxation.

Cell: 5.512 5.512 5.512 Å, 149.48 149.48 43.70°
Atoms (fractional coordinates):
Hf  0.000  0.000  0.000
Zn  0.285  0.285  0.000
H  0.549  0.549  0.000

Computed properties:
The value obtained for the density of states at the Fermi level is 2.20 states/eV/cell. The total moment is 0.00 μB/f.u. As for the energy above the lowest structure with this stoichiometry: 32.0 kJ/mol of atoms.